Ba3ZrO | PBEsol | relaxed

Values from the calculation:
Formation energy from raw total energies ... 3.970 eV/f.u.
Size of the total moment ... 0.000 μB per atom
Raw total energy ... -3.363 eV per atom
Space-group type ... No. 221

a = 5.834 Å, b = 5.834 Å, c = 5.834 Å
α = 90.00°, β = 90.00°, γ = 90.00°
Fractional coordinates of all 5 atoms:
O 0.500 0.500 0.500
Ba 0.000 0.000 0.500
Ba 0.500 0.000 0.000
Ba 0.000 0.500 0.000
Zr 0.000 0.000 0.000